i | First-principles (PBE-GGA) data for a relaxed CsNa3Al crystal, as listed in the Alexandria database.

Properties
- N(E_F): 4.81 states/eV per cell

Structure (CIF):
```
data_CsNa3Al
_symmetry_space_group_name_H-M 'P m -3 m'
_symmetry_Int_Tables_number 221
_symmetry_space_group_name_Hall '-P 4 2 3'
_cell_length_a 6.677
_cell_length_b 6.677
_cell_length_c 6.677
_cell_angle_alpha 90.00
_cell_angle_beta 90.00
_cell_angle_gamma 90.00
loop_
_atom_site_label
_atom_site_type_symbol
_atom_site_fract_x
_atom_site_fract_y
_atom_site_fract_z
Cs1 Cs 0.000 0.000 0.000
Na1 Na 0.000 0.000 0.500
Al1 Al 0.500 0.500 0.500
```

=====

ii | First-principles (PBE-GGA) data for a relaxed CsNa3Al crystal, as listed in the Alexandria database.

Properties
- N(E_F): 1.99 states/eV per cell

Structure (CIF):
```
data_CsNa3Al
_symmetry_space_group_name_H-M 'P m -3 m'
_symmetry_Int_Tables_number 221
_symmetry_space_group_name_Hall '-P 4 2 3'
_cell_length_a 6.104
_cell_length_b 6.104
_cell_length_c 6.104
_cell_angle_alpha 90.00
_cell_angle_beta 90.00
_cell_angle_gamma 90.00
loop_
_atom_site_label
_atom_site_type_symbol
_atom_site_fract_x
_atom_site_fract_y
_atom_site_fract_z
Cs1 Cs 0.000 0.000 0.000
Na1 Na 0.000 0.500 0.500
Al1 Al 0.500 0.500 0.500
```

=====

So which one is most stable? That would be ii, about 70.3 kJ/mol of atoms below the next structure.

=====

i | First-principles (PBE-GGA) data for a relaxed CsNa2Al2 crystal, as listed in the Alexandria database.

Properties
- N(E_F): 6.70 states/eV per cell

Structure (CIF):
```
data_CsNa2Al2
_symmetry_space_group_name_H-M 'P 4/m b m'
_symmetry_Int_Tables_number 127
_symmetry_space_group_name_Hall '-P 4 2ab'
_cell_length_a 9.453
_cell_length_b 9.453
_cell_length_c 3.520
_cell_angle_alpha 90.00
_cell_angle_beta 90.00
_cell_angle_gamma 90.00
loop_
_atom_site_label
_atom_site_type_symbol
_atom_site_fract_x
_atom_site_fract_y
_atom_site_fract_z
Cs1 Cs 0.000 0.000 0.000
Na1 Na 0.180 0.320 0.000
Al1 Al 0.100 0.600 0.500
```

=====

ii | First-principles (PBE-GGA) data for a relaxed CsNa2Al2 crystal, as listed in the Alexandria database.

Properties
- N(E_F): 12.14 states/eV per cell

Structure (CIF):
```
data_CsNa2Al2
_symmetry_space_group_name_H-M 'I 4/m m m'
_symmetry_Int_Tables_number 139
_symmetry_space_group_name_Hall '-I 4 2'
_cell_length_a 5.848
_cell_length_b 5.848
_cell_length_c 10.775
_cell_angle_alpha 90.00
_cell_angle_beta 90.00
_cell_angle_gamma 90.00
loop_
_atom_site_label
_atom_site_type_symbol
_atom_site_fract_x
_atom_site_fract_y
_atom_site_fract_z
Cs1 Cs 0.000 0.000 0.000
Na1 Na 0.000 0.500 0.250
Al1 Al 0.000 0.000 0.382
```

=====

So which one is most stable? That would be i, about 3.3 kJ/mol of atoms below the next structure.

=====

i | First-principles (PBE-GGA) data for a relaxed CsNaAl2 crystal, as listed in the Alexandria database.

Properties
- N(E_F): 7.82 states/eV per cell

Structure (CIF):
```
data_CsNaAl2
_symmetry_space_group_name_H-M 'I -4 2 d'
_symmetry_Int_Tables_number 122
_symmetry_space_group_name_Hall 'I -4 2bw'
_cell_length_a 5.198
_cell_length_b 5.198
_cell_length_c 23.044
_cell_angle_alpha 90.00
_cell_angle_beta 90.00
_cell_angle_gamma 90.00
loop_
_atom_site_label
_atom_site_type_symbol
_atom_site_fract_x
_atom_site_fract_y
_atom_site_fract_z
Cs1 Cs 0.000 0.000 0.000
Na1 Na 0.000 0.000 0.500
Al1 Al 0.059 0.750 0.625
```

=====

ii | First-principles (PBE-GGA) data for a relaxed CsNaAl2 crystal, as listed in the Alexandria database.

Properties
- N(E_F): 11.94 states/eV per cell

Structure (CIF):
```
data_CsNaAl2
_symmetry_space_group_name_H-M 'F m -3 m'
_symmetry_Int_Tables_number 225
_symmetry_space_group_name_Hall '-F 4 2 3'
_cell_length_a 8.154
_cell_length_b 8.154
_cell_length_c 8.154
_cell_angle_alpha 90.00
_cell_angle_beta 90.00
_cell_angle_gamma 90.00
loop_
_atom_site_label
_atom_site_type_symbol
_atom_site_fract_x
_atom_site_fract_y
_atom_site_fract_z
Cs1 Cs 0.000 0.000 0.000
Na1 Na 0.000 0.000 0.500
Al1 Al 0.250 0.250 0.250
```

=====

So which one is most stable? That would be i, about 20.2 kJ/mol of atoms below the next structure.